Record 1
# HoPuPd | the Alexandria database | GGA-PBE | optimized geometry
data_HoPuPd
_chemical_formula_sum 'Ho2 Pu2 Pd2'
_space_group_name_H-M_alt 'P 1'
_space_group_IT_number 1
_space_group_name_Hall 'P 1'
_cell_length_a 5.396
_cell_length_b 4.884
_cell_length_c 6.093
_cell_angle_alpha 113.63
_cell_angle_beta 99.49
_cell_angle_gamma 90.00
loop_
_atom_site_label
_atom_site_fract_x
_atom_site_fract_y
_atom_site_fract_z
Pu1 0.763 0.064 0.128
Pu2 0.237 0.936 0.872
Ho1 0.699 0.361 0.722
Ho2 0.301 0.639 0.278
Pd1 0.825 0.735 0.470
Pd2 0.175 0.265 0.530
# Energy above the lowest structure with this stoichiometry = 0.0117 eV per atom
# Calculated total energy = -8.374 eV per atom
# Symmetry = C2/m, No. 12

=====

Record 2
# K2SiNi | the Alexandria database | GGA-PBE | optimized geometry
data_K2SiNi
_chemical_formula_sum 'K2 Si1 Ni1'
_space_group_name_H-M_alt 'P 1'
_space_group_IT_number 1
_space_group_name_Hall 'P 1'
_cell_length_a 3.018
_cell_length_b 3.018
_cell_length_c 10.401
_cell_angle_alpha 90.00
_cell_angle_beta 90.00
_cell_angle_gamma 90.01
loop_
_atom_site_label
_atom_site_fract_x
_atom_site_fract_y
_atom_site_fract_z
K1 0.000 0.000 0.011
K2 0.000 0.000 0.489
Ni1 0.500 0.500 0.250
Si1 0.500 0.500 0.750
# Calculated total energy = -2.558 eV per atom
# ΔE_f (raw) = 18.27 kcal/mol of atoms
# Symmetry = P4/mmm, No. 123